Entry from Alexandria via LeMat-Bulk: a geometry-optimized BaCoCl2 structure (GGA-PBE).

Cell: 4.1427 4.1427 22.0942 Å, 90.00 90.00 120.00°
With the nearest neighbours (Å) after each atom.
Sites, in units of the cell vectors:
Ba1 0.0000 0.0000 0.0000  6 Cl 3.04-3.31, 3 Co 3.26
Ba2 0.3333 0.6667 0.6667  6 Cl 3.04-3.31, 3 Co 3.26
Ba3 0.6667 0.3333 0.3333  6 Cl 3.04-3.31, 3 Co 3.26
Co1 0.0000 0.0000 0.2328  3 Cl 2.39
Co2 0.3333 0.6667 0.8995  3 Cl 2.39
Co3 0.6667 0.3333 0.5662  3 Cl 2.39
Cl1 0.0000 0.0000 0.5632  3 Co 2.39
Cl2 0.0000 0.0000 0.7518  3 Ba 3.04
Cl3 0.3333 0.6667 0.2298  3 Co 2.39
Cl4 0.3333 0.6667 0.4184  3 Ba 3.04
Cl5 0.6667 0.3333 0.0851  3 Ba 3.04
Cl6 0.6667 0.3333 0.8965  3 Co 2.39

Results
For the relative energy among the computed polymorphs, the calculation gives 175 meV per atom. As for the formation energy without anion corrections: -3.36 eV/f.u. The calculation puts the final energy at -4.021 eV/atom. Its space group is R3m (160).



Entry from Alexandria via LeMat-Bulk: a geometry-optimized Ba2CoCl structure (GGA-PBE).

Cell: 4.4056 4.4056 24.6245 Å, 90.00 90.00 120.00°
With the nearest neighbours (Å) after each atom.
Sites, in units of the cell vectors:
Ba1 0.0000 0.0000 0.2421  3 Co 3.15, 3 Cl 3.39
Ba2 0.0000 0.0000 0.7579  3 Co 3.15, 3 Cl 3.39
Ba3 0.3333 0.6667 0.4245  3 Co 3.15, 3 Cl 3.39
Ba4 0.3333 0.6667 0.9088  3 Co 3.15, 3 Cl 3.39
Ba5 0.6667 0.3333 0.0912  3 Co 3.15, 3 Cl 3.39
Ba6 0.6667 0.3333 0.5755  3 Co 3.15, 3 Cl 3.39
Co1 0.0000 0.0000 0.5000  6 Ba 3.15
Co2 0.3333 0.6667 0.1667  6 Ba 3.15
Co3 0.6667 0.3333 0.8333  6 Ba 3.15
Cl1 0.0000 0.0000 0.0000  6 Ba 3.39
Cl2 0.3333 0.6667 0.6667  6 Ba 3.39
Cl3 0.6667 0.3333 0.3333  6 Ba 3.39

Results
For the relative energy among the computed polymorphs, the calculation gives 0 meV per atom. As for the formation energy without anion corrections: -2.29 eV/f.u. The calculation puts the final energy at -3.772 eV/atom. Its space group is R-3m (166).